# KMnH5S2O10 (PBE with a Hubbard U, optimized geometry)
# **Crystal system**: triclinic
# **E_tot**: -5.789 eV/atom
data_KMnH5S2O10
_cell_length_a 4.8124
_cell_length_b 5.9130
_cell_length_c 8.4441
_cell_angle_alpha 103.86
_cell_angle_beta 98.84
_cell_angle_gamma 96.92
_space_group_name_H-M_alt 'P 1'
_space_group_IT_number 1
_space_group_name_Hall 'P 1'
loop_
_atom_site_label
_atom_site_type_symbol
_atom_site_fract_x
_atom_site_fract_y
_atom_site_fract_z
_atom_site_occupancy
K1 K 0.0000 0.0000 0.0000 1
Mn1 Mn 0.9590 0.0003 0.5142 1
H1 H 0.2888 0.6803 0.6394 1
H2 H 0.4494 0.5220 0.0216 1
H3 H 0.6135 0.3010 0.3919 1
H4 H 0.9084 0.3351 0.3322 1
H5 H 0.9820 0.6499 0.6863 1
S1 S 0.3345 0.6740 0.2643 1
S2 S 0.5731 0.3167 0.7601 1
O1 O 0.1253 0.7604 0.6553 1
O2 O 0.1624 0.8645 0.2980 1
O3 O 0.1713 0.4365 0.2345 1
O4 O 0.3293 0.2768 0.6181 1
O5 O 0.4322 0.6921 0.0991 1
O6 O 0.4669 0.3014 0.9165 1
O7 O 0.5885 0.7125 0.3963 1
O8 O 0.7372 0.5555 0.7866 1
O9 O 0.7529 0.1291 0.7237 1
O10 O 0.7731 0.2218 0.3643 1